BaSr2Zn2Ga2: optimized geometry, PBE.

Lattice parameters (Å, degrees): 4.6013 4.6013 12.5695 79.45 79.45 60.00
Sites, in units of the cell vectors:
Ba1 0.0000 0.0000 0.0000
Sr1 0.1187 0.1187 0.6439
Sr2 0.8813 0.8813 0.3561
Zn1 0.6010 0.6010 0.1969
Zn2 0.3990 0.3990 0.8031
Ga1 0.7335 0.7335 0.7996
Ga2 0.2665 0.2665 0.2004

Output
Crystal system = trigonal
SG = R-3m (166)
Formation enthalpy at 0 K = -0.31 eV/atom

BaTaGa2: optimized geometry, PBE.

Lattice parameters (Å, degrees): 5.2748 5.2748 9.6559 74.15 74.15 90.00
Sites, in units of the cell vectors:
Ba1 0.5000 0.5000 0.0000
Ba2 0.2500 0.7500 0.5000
Ga1 0.8050 0.1250 0.2500
Ga2 0.9450 0.6250 0.2500
Ga3 0.3750 0.1950 0.7500
Ga4 0.8750 0.0550 0.7500
Ta1 0.0000 0.0000 0.0000
Ta2 0.7500 0.2500 0.5000

Output
Crystal system = tetragonal
SG = I-42d (122)
Formation enthalpy at 0 K = 0.43 eV/atom

BaTa3Ga: optimized geometry, PBE.

Lattice parameters (Å, degrees): 5.0986 5.0986 5.0986 90.00 90.00 90.00
Sites, in units of the cell vectors:
Ba1 0.0000 0.0000 0.0000
Ga1 0.5000 0.5000 0.5000
Ta1 0.0000 0.5000 0.0000
Ta2 0.0000 0.0000 0.5000
Ta3 0.5000 0.0000 0.0000

Output
Crystal system = cubic
SG = Pm-3m (221)
Formation enthalpy at 0 K = 2.95 eV/atom

BaTa3Ga: optimized geometry, PBE.

Lattice parameters (Å, degrees): 4.9978 4.9978 4.9978 90.00 90.00 90.00
Sites, in units of the cell vectors:
Ba1 0.5000 0.5000 0.5000
Ga1 0.0000 0.0000 0.0000
Ta1 0.0000 0.5000 0.0000
Ta2 0.0000 0.0000 0.5000
Ta3 0.5000 0.0000 0.0000

Output
Crystal system = cubic
SG = Pm-3m (221)
Formation enthalpy at 0 K = 1.40 eV/atom

Ba3TaGa: optimized geometry, PBE.

Lattice parameters (Å, degrees): 6.1139 6.1139 6.1139 90.00 90.00 90.00
Sites, in units of the cell vectors:
Ba1 0.0000 0.5000 0.0000
Ba2 0.0000 0.0000 0.5000
Ba3 0.5000 0.0000 0.0000
Ga1 0.5000 0.5000 0.5000
Ta1 0.0000 0.0000 0.0000

Output
Crystal system = cubic
SG = Pm-3m (221)
Formation enthalpy at 0 K = 0.91 eV/atom

BaTaGa2: optimized geometry, PBE.

Lattice parameters (Å, degrees): 5.1035 5.1035 5.1035 60.00 60.00 60.00
Last column: magnetic moment on the atom in μB.
Sites, in units of the cell vectors:
Ba1 0.0000 0.0000 0.0000  0.01
Ga1 0.2500 0.2500 0.2500  -0.02
Ga2 0.7500 0.7500 0.7500  -0.02
Ta1 0.5000 0.5000 0.5000  0.51

Output
Crystal system = cubic
SG = Fm-3m (225)
Formation enthalpy at 0 K = 0.47 eV/atom

In the order shown, the computed calculated total energy values come out to -2.297 -4.527 -5.148 -6.706 -3.218 -4.488 eV per atom.